No. 1
Below is a relaxed structure of Mg3Sb4, with properties calculated at the GGA-PBE level.

Properties
SG   No. 191
Theoretical density   5.27 g/cm3
Formation energy (no corrections)   0.50 eV/f.u.
Total DFT energy (no corrections)   -0.1091 Ha/atom
DOS at the Fermi energy   0.552 states/eV per atom
Crystal system   hexagonal

Unit cell a=5.8755 b=5.8755 c=5.8971 alpha=90.00 beta=90.00 gamma=120.00
Fractional positions:
1 Mg 0.0000 0.5000 0.0000
2 Mg 0.5000 0.5000 0.0000
3 Mg 0.5000 0.0000 0.0000
4 Sb 0.0000 0.0000 0.2462
5 Sb 0.0000 0.0000 0.7538
6 Sb 0.6667 0.3333 0.5000
7 Sb 0.3333 0.6667 0.5000

***

No. 2
Below is a relaxed structure of ZrCrNi2B, with properties calculated at the GGA-PBE level.

Properties
Energy of formation   0.185 eV per atom
SG   No. 123
Theoretical density   6.85 g/cm3
Total DFT energy (no corrections)   -0.2608 Ha/atom
DOS at the Fermi energy   1.085 states/eV per atom
Crystal system   tetragonal

Unit cell a=3.7973 b=4.5638 c=3.7973 alpha=90.00 beta=90.00 gamma=90.00
Fractional positions:
1 Ni 0.0000 0.0000 0.5000
2 Ni 0.5000 0.0000 0.0000
3 B 0.0000 0.0000 0.0000
4 Zr 0.0000 0.5000 0.0000
5 Cr 0.5000 0.5000 0.5000

***

No. 3
Below is a relaxed structure of CsRbI, with properties calculated at the GGA-PBE level.

Properties
ΔE to the lowest computed polymorph   0 meV per atom
SG   No. 156
Theoretical density   2.58 g/cm3
Formation energy (no corrections)   -2.88 eV/f.u.
Total DFT energy (no corrections)   -0.0766 Ha/atom
DOS at the Fermi energy   0.377 states/eV per atom
Crystal system   trigonal

Unit cell a=5.2914 b=5.2914 c=9.1660 alpha=90.00 beta=90.00 gamma=120.00
Fractional positions:
1 Cs 0.0000 0.0000 0.0776
2 I 0.6667 0.3333 0.3409
3 Rb 0.3333 0.6667 0.5815

***

No. 4
Below is a relaxed structure of Y2GaSi3Rh4, with properties calculated at the GGA-PBE level.

Properties
SG   No. 115
Theoretical density   7.28 g/cm3
Formation energy (no corrections)   -10.20 eV/f.u.
Total DFT energy (no corrections)   -0.2640 Ha/atom
DOS at the Fermi energy   0.573 states/eV per atom
Crystal system   tetragonal

Unit cell a=4.1531 b=4.1531 c=9.8361 alpha=90.00 beta=90.00 gamma=90.00
Fractional positions:
1 Y 0.5000 0.0000 0.2522
2 Y 0.0000 0.5000 0.7478
3 Ga 0.5000 0.5000 0.5000
4 Si 0.0000 0.0000 0.5000
5 Si 0.5000 0.0000 0.8724
6 Si 0.0000 0.5000 0.1276
7 Rh 0.5000 0.5000 0.0000
8 Rh 0.0000 0.0000 0.0000
9 Rh 0.5000 0.0000 0.6348
10 Rh 0.0000 0.5000 0.3652